The following is a GGA-PBE calculation of a geometry-optimized Ni7Pt structure, from Alexandria.

Cell lengths 5.0890, 5.0890, 5.0890 Å; angles 60.00, 60.00, 60.00 degrees
Last column: magnetic moment on the atom in μB.
Atoms (fractional coordinates):
Ni 0.5000 0.5000 0.0000  0.79
Ni 0.0000 0.5000 0.5000  0.79
Ni 0.5000 0.0000 0.5000  0.79
Ni 0.0000 0.5000 0.0000  0.79
Ni 0.5000 0.0000 0.0000  0.79
Ni 0.0000 0.0000 0.5000  0.79
Ni 0.5000 0.5000 0.5000  0.83
Pt 0.0000 0.0000 0.0000  0.40

Results
M_tot	0.7175	μB/atom
energy of formation	-0.025	eV per atom


The following is a GGA-PBE calculation of a geometry-optimized HfBeCu structure, from Alexandria.

Cell lengths 3.1521, 3.9737, 3.9737 Å; angles 120.00, 90.00, 90.00 degrees
Last column: magnetic moment on the atom in μB.
Atoms (fractional coordinates):
Be 0.1667 0.3333 0.6667  0.01
Hf 0.6668 0.6667 0.3333  0.08
Cu 0.1665 0.0000 0.0000  0.02

Results
M_tot	0.0589	μB/atom
ΔE to the lowest computed polymorph	76	meV per atom
energy of formation	-0.118	eV per atom


The following is a GGA-PBE calculation of a geometry-optimized ReAu3O structure, from Alexandria.

Cell lengths 4.4348, 4.4348, 4.4348 Å; angles 90.00, 90.00, 90.00 degrees
Last column: magnetic moment on the atom in μB.
Atoms (fractional coordinates):
Re 0.5000 0.5000 0.5000  2.80
Au 0.0000 0.5000 0.0000  0.10
Au 0.0000 0.0000 0.5000  0.06
Au 0.5000 0.0000 0.0000  0.13
O 0.0000 0.0000 0.0000  0.08

Results
M_tot	0.7204	μB/atom
ΔE to the lowest computed polymorph	0	meV per atom
uncorrected formation energy	572	kJ/mol of formula units


The following is a GGA-PBE calculation of a geometry-optimized BSe3Br structure, from Alexandria.

Cell lengths 5.1986, 5.1986, 5.1986 Å; angles 90.00, 90.00, 90.00 degrees
Atoms (fractional coordinates):
B 0.5000 0.5000 0.5000
Se 0.0000 0.5000 0.0000
Se 0.0000 0.0000 0.5000
Se 0.5000 0.0000 0.0000
Br 0.0000 0.0000 0.0000

Results
M_tot	0.0000	μB/atom
ΔE to the lowest computed polymorph	1673	meV per atom
uncorrected formation energy	832	kJ/mol of formula units


The following is a GGA-PBE calculation of a geometry-optimized Ho2CdGa9 structure, from Alexandria.

Cell lengths 4.3111, 4.3111, 12.6258 Å; angles 90.00, 90.00, 90.00 degrees
Atoms (fractional coordinates):
Ho 0.0000 0.0000 0.3325
Ho 0.0000 0.0000 0.6675
Cd 0.0000 0.0000 0.0000
Ga 0.5000 0.5000 0.0000
Ga 0.5000 0.5000 0.3378
Ga 0.5000 0.5000 0.6622
Ga 0.5000 0.0000 0.1601
Ga 0.5000 0.0000 0.5000
Ga 0.5000 0.0000 0.8399
Ga 0.0000 0.5000 0.1601
Ga 0.0000 0.5000 0.5000
Ga 0.0000 0.5000 0.8399

Results
M_tot	0.0000	μB/atom
energy of formation	-0.305	eV per atom


The following is a GGA-PBE calculation of a geometry-optimized Y2AuI structure, from Alexandria.

Cell lengths 8.0387, 8.0387, 6.7597 Å; angles 53.52, 53.52, 90.00 degrees
Atoms (fractional coordinates):
I 0.5000 0.5000 0.0000
I 0.2500 0.7500 0.5000
Y 0.6487 0.1250 0.2500
Y 0.1013 0.6250 0.2500
Y 0.3750 0.3513 0.7500
Y 0.8750 0.8987 0.7500
Au 0.0000 0.0000 0.0000
Au 0.7500 0.2500 0.5000

Results
M_tot	0.0000	μB/atom
ΔE to the lowest computed polymorph	315	meV per atom
uncorrected formation energy	-189	kJ/mol of formula units


The following is a GGA-PBE calculation of a geometry-optimized LuPaGa2 structure, from Alexandria.

Cell lengths 3.2713, 3.2713, 8.0238 Å; angles 90.00, 90.00, 90.00 degrees
Last column: magnetic moment on the atom in μB.
Atoms (fractional coordinates):
Pa 0.5000 0.5000 0.5000  0.28
Lu 0.5000 0.5000 0.0000  -0.02
Ga 0.0000 0.0000 0.7564  0.00
Ga 0.0000 0.0000 0.2436  0.00

Results
M_tot	0.0783	μB/atom
ΔE to the lowest computed polymorph	0	meV per atom
energy of formation	-0.386	eV per atom


The following is a GGA-PBE calculation of a geometry-optimized NaTbBi2S4 structure, from Alexandria.

Cell lengths 3.9459, 8.7453, 7.3445 Å; angles 123.40, 90.00, 90.00 degrees
Atoms (fractional coordinates):
Na 0.0000 0.0000 0.0000
Tb 0.5000 0.5000 0.0000
Bi 0.5000 0.0000 0.5000
Bi 0.0000 0.5000 0.5000
S 0.5000 0.2956 0.1804
S 0.5000 0.7044 0.8196
S 0.0000 0.2878 0.6890
S 0.0000 0.7122 0.3110

Results
M_tot	0.0000	μB/atom
uncorrected formation energy	-697	kJ/mol of formula units